Model w:
Computed, not measured: a crystal of LiIBr2 relaxed with PBEsol at the meta-GGA SCAN level of DFT.

Properties
* ρ: 4.61 Mg/m³
* space-group type: I-42d, No. 122
* DOS at the Fermi energy: 1.0861 states/eV per atom

a b c (Å): 6.5100 6.5100 6.5100
angles (deg): 107.25 107.25 114.01
Atoms (fractional coordinates):
Li (0.0000, 0.0000, 0.0000)
Li (0.7500, 0.2500, 0.5000)
I (0.2500, 0.7500, 0.5000)
I (0.5000, 0.5000, 0.0000)
Br (0.0560, 0.6250, 0.9310)
Br (0.3750, 0.3060, 0.4310)
Br (0.6940, 0.1250, 0.0690)
Br (0.8750, 0.9440, 0.5690)


Model x:
Computed, not measured: a crystal of LiIBr2 relaxed with PBEsol at the meta-GGA SCAN level of DFT.

Properties
* ρ: 4.03 Mg/m³
* space-group type: R-3m, No. 166

a b c (Å): 8.4044 8.4044 8.4044
angles (deg): 28.70 28.70 28.70
Atoms (fractional coordinates):
Li (0.0000, 0.0000, 0.0000)
I (0.5000, 0.5000, 0.5000)
Br (0.3880, 0.3880, 0.3880)
Br (0.6120, 0.6120, 0.6120)


Most stable = model x


Model w:
Computed, not measured: a crystal of ZrI2BrN relaxed with PBEsol at the meta-GGA SCAN level of DFT.

Properties
* ρ: 5.40 Mg/m³
* space-group type: P4/mmm, No. 123
* DOS at the Fermi energy: 1.5605 states/eV per atom

a b c (Å): 5.8527 5.8527 3.9376
angles (deg): 90.00 90.00 90.00
Atoms (fractional coordinates):
Zr (0.0000, 0.0000, 0.0000)
I (0.0000, 0.5000, 0.0000)
I (0.5000, 0.0000, 0.0000)
Br (0.5000, 0.5000, 0.5000)
N (0.0000, 0.0000, 0.5000)


Model x:
Computed, not measured: a crystal of ZrI2BrN relaxed with PBEsol at the meta-GGA SCAN level of DFT.

Properties
* ρ: 5.51 Mg/m³
* space-group type: P4/mmm, No. 123
* DOS at the Fermi energy: 0.7931 states/eV per atom

a b c (Å): 6.0205 6.0205 3.6514
angles (deg): 90.00 90.00 90.00
Atoms (fractional coordinates):
Zr (0.0000, 0.0000, 0.0000)
I (0.0000, 0.5000, 0.5000)
I (0.5000, 0.0000, 0.5000)
Br (0.5000, 0.5000, 0.5000)
N (0.5000, 0.5000, 0.0000)


Most stable = model w